one:
Here is crystalline Na4Np3Se8 at its relaxed geometry from the Alexandria database. Energies are from PBE.

Output
DOS(E_F), states/eV/f.u.: 26.64
Calculated density, g cm⁻³: 5.28

a b c (Å): 8.8965 8.8965 8.8965
angles (deg): 55.96 55.96 55.96
Last column: nearest neighbours and their distance in Å.
Fractional coordinates of all 15 atoms:
Na1 0.0000 0.0000 0.0000  6 Se 3.00, 2 Na 3.14
Na2 0.1401 0.1401 0.1401  4 Se 2.82-3.00, 1 Na 3.14
Na3 0.5000 0.5000 0.5000  6 Se 3.13
Na4 0.8599 0.8599 0.8599  4 Se 2.82-3.00, 1 Na 3.14
Np1 0.0000 0.5000 0.5000  6 Se 2.82-2.85
Np2 0.5000 0.0000 0.5000  6 Se 2.82-2.85
Np3 0.5000 0.5000 0.0000  6 Se 2.82-2.85
Se1 0.2469 0.2469 0.7171  2 Np 2.82, 3 Na 3.00-3.13
Se2 0.2469 0.7171 0.2469  2 Np 2.82, 3 Na 3.00-3.13
Se3 0.2659 0.2659 0.2659  1 Na 2.82, 3 Np 2.85
Se4 0.2829 0.7531 0.7531  2 Np 2.82, 3 Na 3.00-3.13
Se5 0.7171 0.2469 0.2469  2 Np 2.82, 3 Na 3.00-3.13
Se6 0.7341 0.7341 0.7341  1 Na 2.82, 3 Np 2.85
Se7 0.7531 0.2829 0.7531  2 Np 2.82, 3 Na 3.00-3.13
Se8 0.7531 0.7531 0.2829  2 Np 2.82, 3 Na 3.00-3.13

two:
Here is crystalline Na4Np3Se8 at its relaxed geometry from the Alexandria database. Energies are from PBE.

Output
DOS(E_F), states/eV/f.u.: 29.18
Calculated density, g cm⁻³: 6.04

a b c (Å): 8.1654 8.1654 8.1977
angles (deg): 118.77 118.77 91.81
Last column: nearest neighbours and their distance in Å.
Fractional coordinates of all 15 atoms:
Na1 0.0000 0.0000 0.0000  6 Se 3.00-3.07
Na2 0.0000 0.5000 0.0000  6 Se 2.84-2.96
Na3 0.5000 0.0000 0.0000  6 Se 2.84-2.96
Na4 0.5000 0.5000 0.5000  6 Se 2.95-2.97
Np1 0.0000 0.5000 0.5000  6 Se 2.84-2.96
Np2 0.5000 0.0000 0.5000  6 Se 2.84-2.96
Np3 0.5000 0.5000 0.0000  6 Se 2.63-2.87
Se1 0.2479 0.7521 0.5000  2 Np 2.84, 3 Na 2.96
Se2 0.2500 0.2500 0.5187  3 Np 2.85-2.94, 2 Na 2.95-3.07
Se3 0.2557 0.7443 0.0000  3 Na 2.84-3.00, 3 Np 2.87-2.96
Se4 0.2684 0.2684 0.9996  1 Np 2.63, 2 Na 2.94
Se5 0.7316 0.7316 0.0004  1 Np 2.63, 2 Na 2.94
Se6 0.7443 0.2557 0.0000  3 Na 2.84-3.00, 3 Np 2.87-2.96
Se7 0.7500 0.7500 0.4813  3 Np 2.85-2.94, 2 Na 2.95-3.07
Se8 0.7521 0.2479 0.5000  2 Np 2.84, 3 Na 2.96

Which of them is the most stable, and which is the least stable? one and two, in that order.

one:
Here is crystalline NaNpSe3 at its relaxed geometry from the Alexandria database. Energies are from PBE.

Output
DOS(E_F), states/eV/f.u.: 8.93
Calculated density, g cm⁻³: 5.27

a b c (Å): 7.4581 7.4581 8.4388
angles (deg): 99.93 99.93 42.73
Last column: nearest neighbours and their distance in Å.
Fractional coordinates of all 10 atoms:
Na1 0.1347 0.1347 0.3796  3 Se 2.90-3.16
Na2 0.8653 0.8653 0.6204  3 Se 2.90-3.16
Np1 0.3673 0.3673 0.0850  6 Se 2.61-2.84
Np2 0.6327 0.6327 0.9150  6 Se 2.61-2.84
Se1 0.1653 0.1653 0.9419  3 Np 2.76-2.84
Se2 0.3439 0.3439 0.3843  1 Np 2.61, 1 Na 2.90
Se3 0.4330 0.4330 0.7987  2 Np 2.74-2.77
Se4 0.5670 0.5670 0.2013  2 Np 2.74-2.77
Se5 0.6561 0.6561 0.6157  1 Np 2.61, 1 Na 2.90
Se6 0.8347 0.8347 0.0581  3 Np 2.76-2.84

two:
Here is crystalline NaNpSe3 at its relaxed geometry from the Alexandria database. Energies are from PBE.

Output
DOS(E_F), states/eV/f.u.: 9.18
Calculated density, g cm⁻³: 5.19

a b c (Å): 5.4156 5.4156 5.4156
angles (deg): 90.00 90.00 90.00
Last column: nearest neighbours and their distance in Å.
Fractional coordinates of all 5 atoms:
Na1 0.0000 0.0000 0.0000  12 Se 3.83
Np1 0.5000 0.5000 0.5000  6 Se 2.71
Se1 0.0000 0.5000 0.5000  2 Np 2.71
Se2 0.5000 0.0000 0.5000  2 Np 2.71
Se3 0.5000 0.5000 0.0000  2 Np 2.71

Which of them is the most stable, and which is the least stable? one and two, in that order.

one:
Here is crystalline NaNp6Se8 at its relaxed geometry from the Alexandria database. Energies are from PBE.

Output
DOS(E_F), states/eV/f.u.: 52.69
Calculated density, g cm⁻³: 8.89

a b c (Å): 8.1859 8.1859 8.1859
angles (deg): 60.00 60.00 60.00
Last column: nearest neighbours and their distance in Å.
Fractional coordinates of all 15 atoms:
Na1 0.0000 0.0000 0.0000  6 Se 2.95
Np1 0.0000 0.0000 0.5000  6 Se 2.89
Np2 0.0000 0.5000 0.0000  6 Se 2.89
Np3 0.0000 0.5000 0.5000  6 Se 2.89
Np4 0.5000 0.0000 0.0000  6 Se 2.89
Np5 0.5000 0.0000 0.5000  6 Se 2.89
Np6 0.5000 0.5000 0.0000  6 Se 2.89
Se1 0.2500 0.2500 0.2500  6 Np 2.89
Se2 0.2550 0.2550 0.7450  4 Np 2.89, 1 Na 2.95
Se3 0.2550 0.7450 0.2550  4 Np 2.89, 1 Na 2.95
Se4 0.2550 0.7450 0.7450  4 Np 2.89, 1 Na 2.95
Se5 0.7450 0.2550 0.2550  4 Np 2.89, 1 Na 2.95
Se6 0.7450 0.2550 0.7450  4 Np 2.89, 1 Na 2.95
Se7 0.7450 0.7450 0.2550  4 Np 2.89, 1 Na 2.95
Se8 0.7500 0.7500 0.7500  6 Np 2.89

two:
Here is crystalline NaNp6Se8 at its relaxed geometry from the Alexandria database. Energies are from PBE.

Output
DOS(E_F), states/eV/f.u.: 19.84
Calculated density, g cm⁻³: 10.24

a b c (Å): 10.4164 10.4164 3.5844
angles (deg): 90.00 90.00 120.00
Last column: nearest neighbours and their distance in Å.
Fractional coordinates of all 15 atoms:
Na1 0.0000 0.0000 0.0000  6 Se 3.14
Np1 0.0758 0.4911 0.2498  2 Np 2.46
Np2 0.4153 0.9242 0.2498  2 Np 2.46
Np3 0.4911 0.4153 0.7502  2 Np 2.46
Np4 0.5089 0.5847 0.2498  2 Np 2.46
Np5 0.5847 0.0758 0.7502  2 Np 2.46
Np6 0.9242 0.5089 0.7502  2 Np 2.46
Se1 0.0916 0.7681 0.2531  4 Np 2.81-2.98, 1 Na 3.14
Se2 0.2319 0.3235 0.2531  4 Np 2.81-2.98, 1 Na 3.14
Se3 0.3235 0.0916 0.7469  4 Np 2.81-2.98, 1 Na 3.14
Se4 0.3333 0.6667 0.7501  6 Np 2.97-2.98
Se5 0.6667 0.3333 0.2499  6 Np 2.97-2.98
Se6 0.6765 0.9084 0.2531  4 Np 2.81-2.98, 1 Na 3.14
Se7 0.7681 0.6765 0.7469  4 Np 2.81-2.98, 1 Na 3.14
Se8 0.9084 0.2319 0.7469  4 Np 2.81-2.98, 1 Na 3.14

Which of them is the most stable, and which is the least stable? one and two, in that order.